Entry 1:
Compound: UPaTcPd
Source: Alexandria
Functional: PBE
Structure: optimized geometry

Results
Total DFT energy (no corrections): -9.201 eV/atom
Energy relative to the elements: -0.46 eV/f.u.

abc: 6.8770 6.8770 6.8770
angles: 90.00 90.00 90.00
Sites, in units of the cell vectors:
U  0.0000  0.0000  0.0000
U  0.0000  0.5000  0.5000
U  0.5000  0.0000  0.5000
U  0.5000  0.5000  0.0000
Pa  0.0000  0.0000  0.5000
Pa  0.0000  0.5000  0.0000
Pa  0.5000  0.0000  0.0000
Pa  0.5000  0.5000  0.5000
Tc  0.2500  0.2500  0.7500
Tc  0.2500  0.7500  0.2500
Tc  0.7500  0.2500  0.2500
Tc  0.7500  0.7500  0.7500
Pd  0.2500  0.2500  0.2500
Pd  0.2500  0.7500  0.7500
Pd  0.7500  0.2500  0.7500
Pd  0.7500  0.7500  0.2500

=====

Entry 2:
Compound: PaVTcPd
Source: Alexandria
Functional: PBE
Structure: optimized geometry

Results
Total DFT energy (no corrections): -8.644 eV/atom
Energy relative to the elements: -0.40 eV/f.u.

abc: 6.5883 6.5883 6.5883
angles: 90.00 90.00 90.00
Sites, in units of the cell vectors:
Pa  0.0000  0.0000  0.0000
Pa  0.0000  0.5000  0.5000
Pa  0.5000  0.0000  0.5000
Pa  0.5000  0.5000  0.0000
V  0.0000  0.0000  0.5000
V  0.0000  0.5000  0.0000
V  0.5000  0.0000  0.0000
V  0.5000  0.5000  0.5000
Tc  0.2500  0.2500  0.2500
Tc  0.2500  0.7500  0.7500
Tc  0.7500  0.2500  0.7500
Tc  0.7500  0.7500  0.2500
Pd  0.2500  0.2500  0.7500
Pd  0.2500  0.7500  0.2500
Pd  0.7500  0.2500  0.2500
Pd  0.7500  0.7500  0.7500